Below is a geometry-optimized NiAg2Pt2 structure, with properties calculated at the PBE level.

V: 174.4 Å³ per cell
offset from the most stable computed form: 272 meV per atom
ΔH_f (0 K): 0.527 eV/atom
density of states at the Fermi level: 13.13 states/eV/cell
calculated total energy: -4.1862 eV/atom

Lattice parameters (Å, degrees): 7.900 7.900 2.795 90.00 90.00 90.00
Space group P4/mbm (No. 127)
One atom of each set of equivalent atoms:
Ni: 0.000 0.000 0.000 x2
Ag: 0.125 0.375 0.000 x4
Pt: 0.173 0.673 0.500 x4

---

Below is a geometry-optimized BeTe2NO structure, with properties calculated at the PBE level.

V: 79.6 Å³ per cell
offset from the most stable computed form: 0 meV per atom
raw formation energy: 0.60 eV per atom
density of states at the Fermi level: 2.95 states/eV/cell
calculated total energy: -4.0605 eV/atom

Lattice parameters (Å, degrees): 5.107 5.107 3.054 90.00 90.00 90.00
Space group P4/mmm (No. 123)
One atom of each set of equivalent atoms:
Be: 0.000 0.000 0.000 x1
Te: 0.000 0.500 0.000 x2
N: 0.000 0.000 0.500 x1
O: 0.500 0.500 0.500 x1

---

Below is a geometry-optimized MgCd12Ag7 structure, with properties calculated at the PBE level.

V: 1245.4 Å³ per cell
ΔH_f (0 K): -0.039 eV/atom
density of states at the Fermi level: 19.46 states/eV/cell
calculated total energy: -1.6662 eV/atom

Lattice parameters (Å, degrees): 12.6048 12.6048 9.0516 90.00 90.00 120.00
Space group R-3 (No. 148, hexagonal axes)
One atom of each set of equivalent atoms:
Mg: 0.0000 0.0000 0.0000 x3
Cd: 0.0507 0.2099 0.2436 x18
Cd: 0.0531 0.2446 0.5850 x18
Ag: 0.0000 0.0000 0.5000 x3
Ag: 0.0630 0.2409 0.9194 x18

---

Below is a geometry-optimized SrCaHgO3 structure, with properties calculated at the PBE level.

V: 217.3 Å³ per cell
raw formation energy: -1.90 eV per atom
calculated total energy: -5.0474 eV/atom

Lattice parameters (Å, degrees): 6.599 3.370 9.789 90.00 93.22 90.00
Space group P2_1/m (No. 11)
One atom of each set of equivalent atoms:
Sr: 0.186 0.250 0.244 x2
Ca: 0.347 0.750 0.892 x2
Hg: 0.202 0.250 0.594 x2
O: 0.118 0.250 0.807 x2
O: 0.223 0.750 0.440 x2
O: 0.399 0.750 0.123 x2